1.
VFeSeBr2 | PBE | relaxed

## Properties
As for the total energy: -4.60 eV/atom. The value obtained for the mass density is 4.486 g/cm³. The calculation puts the density of states at the Fermi level at 8.2 states/eV/cell. As for the crystal system: tetragonal. The uncorrected formation energy comes out at 282 meV per atom.

Cell: 5.1200 5.1200 4.8792 Å, 90.00 90.00 90.00°
With the nearest neighbours (Å) after each atom.
Fractional coordinates of all 5 atoms:
V: 0.0000 0.0000 0.0000  2 Se 2.44, 4 Br 2.56
Fe: 0.5000 0.5000 0.5000  8 Br 3.54, 4 Se 3.62
Se: 0.0000 0.0000 0.5000  2 V 2.44
Br: 0.0000 0.5000 0.0000  2 V 2.56
Br: 0.5000 0.0000 0.0000  2 V 2.56


2.
La3WN6 | PBE | relaxed

## Properties
As for the total energy: -8.41 eV/atom. The value obtained for the mass density is 7.329 g/cm³. The calculation puts the density of states at the Fermi level at 15.1 states/eV/cell. As for the crystal system: monoclinic. The uncorrected formation energy comes out at -637 meV per atom.

Cell: 5.9405 6.1483 10.3230 Å, 90.00 124.64 90.00°
With the nearest neighbours (Å) after each atom.
Fractional coordinates of all 20 atoms:
La: 0.0000 0.0000 0.0000  6 N 2.41-2.48
La: 0.0000 0.5000 0.5000  6 N 2.41-2.48
La: 0.2640 0.0508 0.7444  5 N 2.48-2.67
La: 0.2640 0.4492 0.2444  5 N 2.48-2.67
La: 0.7360 0.5508 0.7556  5 N 2.48-2.67
La: 0.7360 0.9492 0.2556  5 N 2.48-2.67
W: 0.5000 0.0000 0.5000  6 N 2.03-2.04
W: 0.5000 0.5000 0.0000  6 N 2.03-2.04
N: 0.1631 0.0538 0.2785  1 W 2.04
N: 0.1631 0.4462 0.7785  1 W 2.04
N: 0.2810 0.6833 0.0543  1 W 2.03
N: 0.2810 0.8167 0.5543  1 W 2.03
N: 0.3960 0.2327 0.0728  1 W 2.04
N: 0.3960 0.2673 0.5728  1 W 2.04
N: 0.6040 0.7327 0.4272  1 W 2.04
N: 0.6040 0.7673 0.9272  1 W 2.04
N: 0.7190 0.1833 0.4457  1 W 2.03
N: 0.7190 0.3167 0.9457  1 W 2.03
N: 0.8369 0.5538 0.2215  1 W 2.04
N: 0.8369 0.9462 0.7215  1 W 2.04